No. 1
18
Lattice="6.5348 -0.1310 -0.4955 -0.7756 10.5287 -0.5115 -0.1515 -0.2322 10.5660" Properties=species:S:1:pos:R:3 comment="ZrAu2Br6, optimized geometry, DFT PBE-GGA" e_form_raw_ev_per_atom=-0.803 crystal_system=monoclinic pbc="T T T"
Au 0.9974 4.0135 3.8336
Au 4.6103 6.1520 5.7253
Au 4.2653 3.9391 3.5951
Au 1.3424 6.2264 5.9639
Br 5.5149 0.5247 6.8896
Br 5.0299 8.5056 9.1644
Br 5.8094 5.1000 2.0719
Br -0.2017 5.0655 7.4871
Br 0.5778 1.6599 0.3946
Br 1.6939 9.7540 8.1944
Br 3.7475 2.8984 9.2950
Br 2.6899 2.6157 4.9444
Br 3.9138 0.4115 1.3646
Br 1.8602 7.2672 0.2640
Br 0.0928 9.6408 2.6693
Br 2.9178 7.5498 4.6146
Zr 0.9112 9.5801 0.3074
Zr 4.6965 0.5854 9.2516

---

No. 2
8
Lattice="-1.4955 0.9510 -4.2492 -2.1198 -4.0835 -0.1678 -9.4322 2.2465 1.3282" Properties=species:S:1:pos:R:3 comment="Zr2AuBr, optimized geometry, DFT PBE-GGA" e_form_raw_ev_per_atom=0.092 crystal_system=tetragonal pbc="T T T"
Br -6.6798 -1.7016 -0.5241
Br -1.8077 -1.5662 -2.2085
Au 0.0000 0.0000 0.0000
Au -6.3677 0.8156 -2.5648
Zr -10.2224 -1.0268 -2.8676
Zr -3.8806 -1.8649 -0.3344
Zr -3.5470 0.6387 -2.3143
Zr -8.4451 0.4810 -0.6615

---

| no. | calculated volume (Å³/cell) |
| --- | --- |
| 1 | 724 |
| 2 | 196 |